Tm7Al2Ir2 GGA-PBE relaxed; DOS(E_F) = 10.00 states/eV per cell; space group = Cmmm, No. 65; uncorrected energy = -0.40850 Ry per atom; E_form = -421 meV/atom; V = 26.6 Å³ per atom
1.0
6.6012 -0.0027 -0.7360
0.0031 6.9055 0.0030
-1.1459 -0.0022 6.5425
Al Tm Ir
2 7 2
Direct
0.1683 0.5000 0.1683 Al
0.8317 0.5000 0.8317 Al
0.0000 0.0000 0.0000 Tm
0.5000 0.2498 0.5000 Tm
0.0000 0.2563 0.5000 Tm
0.0000 0.7437 0.5000 Tm
0.5000 0.7437 0.0000 Tm
0.5000 0.7502 0.5000 Tm
0.5000 0.2563 0.0000 Tm
0.7121 0.0000 0.2879 Ir
0.2879 0.0000 0.7121 Ir